# PBE Tl2Cu2Pd15, relaxed
data_Tl2Cu2Pd15
_cell_length_a 6.9599
_cell_length_b 6.9599
_cell_length_c 6.9599
_cell_angle_alpha 80.75
_cell_angle_beta 80.75
_cell_angle_gamma 80.75
_space_group_name_H-M_alt 'P 1'
_space_group_IT_number 1
loop_
_space_group_symop_operation_xyz
'x,y,z'
loop_
_atom_site_label
_atom_site_type_symbol
_atom_site_fract_x
_atom_site_fract_y
_atom_site_fract_z
_atom_site_occupancy
Pd1 Pd 0.0000 0.6828 0.3172 1
Pd2 Pd 0.5000 0.0000 0.0000 1
Tl1 Tl 0.6529 0.6529 0.6529 1
Pd3 Pd 0.0000 0.5000 0.0000 1
Pd4 Pd 0.3172 0.0000 0.6828 1
Pd5 Pd 0.6828 0.3172 0.0000 1
Pd6 Pd 0.3383 0.8401 0.3383 1
Tl2 Tl 0.3471 0.3471 0.3471 1
Pd7 Pd 0.1599 0.6617 0.6617 1
Pd8 Pd 0.6617 0.1599 0.6617 1
Pd9 Pd 0.0000 0.0000 0.5000 1
Pd10 Pd 0.3383 0.3383 0.8401 1
Cu1 Cu 0.0919 0.0919 0.0919 1
Pd11 Pd 0.6828 0.0000 0.3172 1
Pd12 Pd 0.3172 0.6828 0.0000 1
Pd13 Pd 0.0000 0.3172 0.6828 1
Cu2 Cu 0.9081 0.9081 0.9081 1
Pd14 Pd 0.8401 0.3383 0.3383 1
Pd15 Pd 0.6617 0.6617 0.1599 1
# Electronic total energy ... -89.5 eV for the cell shown
# DOS at the Fermi energy ... 1.0694 states/eV per atom
# DFT formation energy ... 0.068 eV per atom
# SG ... R-3m